1.
8
Lattice="3.9823 0.0000 0.0000 0.0000 3.9823 0.0000 0.0000 0.0000 8.0110" Properties=species:S:1:pos:R:3 comment="Zn2HgRh | Alexandria via LeMat-Bulk | PBE-GGA | optimized geometry" magmom_total_mub_per_fu=0.00 formation_enthalpy_0k_ev_per_atom=-0.09 space_group=I4/mmm mass_density_g_cm3=11.35 pbc="T T T"
Zn 0.0000 1.9912 2.0028
Zn 0.0000 1.9912 6.0083
Zn 1.9912 0.0000 2.0028
Zn 1.9912 0.0000 6.0083
Hg 0.0000 0.0000 0.0000
Hg 1.9912 1.9912 4.0055
Rh 0.0000 0.0000 4.0055
Rh 1.9912 1.9912 0.0000



2.
12
Lattice="2.8693 0.0000 0.0000 -1.4347 2.4849 0.0000 0.0000 0.0000 27.3484" Properties=species:S:1:pos:R:3 comment="ZnHgRh2 | Alexandria via LeMat-Bulk | PBE-GGA | optimized geometry" magmom_total_mub_per_fu=1.04 formation_enthalpy_0k_ev_per_atom=0.13 space_group=R3m mass_density_g_cm3=12.05 pbc="T T T"
Zn 0.0000 0.0000 0.0000
Zn 0.0000 1.6566 18.2323
Zn 1.4347 0.8283 9.1161
Hg 0.0000 0.0000 6.5612
Hg 0.0000 1.6566 24.7934
Hg 1.4347 0.8283 15.6773
Rh 0.0000 0.0000 13.2563
Rh 0.0000 0.0000 20.2592
Rh 0.0000 1.6566 4.1402
Rh 0.0000 1.6566 11.1430
Rh 1.4347 0.8283 2.0269
Rh 1.4347 0.8283 22.3724



3.
4
Lattice="2.8665 0.0000 0.0000 0.0000 4.1666 0.0000 -1.3230 0.0000 5.3220" Properties=species:S:1:pos:R:3 comment="ZnHgRh2 | Alexandria via LeMat-Bulk | PBE-GGA | optimized geometry" magmom_total_mub_per_fu=0.00 formation_enthalpy_0k_ev_per_atom=0.00 space_group=P2/m mass_density_g_cm3=12.33 pbc="T T T"
Zn 0.0000 0.0000 0.0000
Hg -0.6615 0.0000 2.6610
Rh 0.7861 2.0833 1.2022
Rh 0.7574 2.0833 4.1198



4.
8
Lattice="2.9703 0.0000 0.0000 0.0000 4.6016 0.0000 0.0000 0.0000 9.3024" Properties=species:S:1:pos:R:3 comment="ZnHgRh2 | Alexandria via LeMat-Bulk | PBE-GGA | optimized geometry" magmom_total_mub_per_fu=0.00 formation_enthalpy_0k_ev_per_atom=0.05 space_group=Imm2 mass_density_g_cm3=12.32 pbc="T T T"
Zn 0.0000 0.0000 0.0000
Zn 1.4851 2.3008 4.6512
Hg 0.0000 2.3008 2.2550
Hg 1.4851 0.0000 6.9062
Rh 0.0000 0.0000 4.4163
Rh 0.0000 2.3008 6.7995
Rh 1.4851 0.0000 2.1483
Rh 1.4851 2.3008 9.0675



5.
12
Lattice="2.9689 0.0000 0.0000 -1.4845 2.5711 0.0000 0.0000 0.0000 26.4412" Properties=species:S:1:pos:R:3 comment="Zn2HgRh | Alexandria via LeMat-Bulk | PBE-GGA | optimized geometry" magmom_total_mub_per_fu=0.27 formation_enthalpy_0k_ev_per_atom=0.09 space_group=R3m mass_density_g_cm3=10.72 pbc="T T T"
Zn 0.0000 0.0000 0.0000
Zn 0.0000 0.0000 6.7100
Zn 0.0000 1.7141 17.6275
Zn 0.0000 1.7141 24.3375
Zn 1.4845 0.8570 8.8137
Zn 1.4845 0.8570 15.5238
Hg 0.0000 0.0000 20.0722
Hg 0.0000 1.7141 11.2584
Hg 1.4845 0.8570 2.4447
Rh 0.0000 0.0000 13.5970
Rh 0.0000 1.7141 4.7832
Rh 1.4845 0.8570 22.4107



6.
8
Lattice="8.8909 0.0000 0.0000 0.0000 2.9089 0.0000 -1.0385 0.0000 4.9079" Properties=species:S:1:pos:R:3 comment="ZnHgRh2 | Alexandria via LeMat-Bulk | PBE-GGA | optimized geometry" magmom_total_mub_per_fu=0.00 formation_enthalpy_0k_ev_per_atom=-0.01 space_group=C2/m mass_density_g_cm3=12.34 pbc="T T T"
Zn 0.0000 0.0000 0.0000
Zn 4.4454 1.4544 0.0000
Hg -0.5193 1.4544 2.4540
Hg 3.9262 0.0000 2.4540
Rh 1.9081 1.4544 1.1101
Rh 1.4988 0.0000 3.7978
Rh 6.3535 0.0000 1.1101
Rh 5.9443 1.4544 3.7978